Record 1
Material: TmTh2UAs4
Method: DFT, GGA-PBE
State: relaxed

Calculated values
Its formation energy is -960 kJ/mol of formula units.

Unit cell a=4.159 b=7.239 c=7.199 alpha=109.33 beta=90.00 gamma=90.00
Site moments in Bohr magnetons follow the coordinates.
Sites, in units of the cell vectors:
As 0.000 0.747 0.237  -0.03
As 0.000 0.253 0.763  -0.03
As 0.500 0.245 0.237  -0.01
As 0.500 0.755 0.763  -0.01
Th 0.000 0.500 0.500  0.05
Th 0.500 0.000 0.500  0.02
Tm 0.000 0.000 0.000  0.00
U 0.500 0.500 0.000  2.21


Record 2
Material: Te2S2Cl
Method: DFT, GGA-PBE
State: relaxed

Calculated values
The calculation puts the relative energy among the computed polymorphs at 0.000 eV per atom.

Unit cell a=4.691 b=9.630 c=7.603 alpha=85.83 beta=90.38 gamma=75.73
Sites, in units of the cell vectors:
Cl 0.725 0.823 0.266
Cl 0.275 0.177 0.734
S 0.010 0.189 0.154
S 0.396 0.488 0.253
S 0.604 0.512 0.747
S 0.990 0.811 0.846
Te 0.168 0.676 0.602
Te 0.305 0.336 0.979
Te 0.832 0.324 0.398
Te 0.695 0.664 0.021


Record 3
Material: AlC2
Method: DFT, GGA-PBE
State: relaxed

Calculated values
Its formation energy is 431 kJ/mol of formula units. The calculation puts the relative energy among the computed polymorphs at 1.203 eV per atom.

Unit cell a=2.849 b=2.849 c=3.117 alpha=90.00 beta=90.00 gamma=90.00
Sites, in units of the cell vectors:
C 0.000 0.500 0.500
C 0.500 0.000 0.500
Al 0.000 0.000 0.000


Q: Which formula does entry 1 have?
A: TmTh2UAs4